# CaLa2Zn, relaxed, DFT PBEsol
# Size of the total moment = 0.00 Bohr magnetons per cell
# DOS at the Fermi energy = 4.71 states/eV/f.u.
# DFT formation energy = -0.2 eV/f.u.
# Mass density = 5.339 g/cm³
data_CaLa2Zn
_chemical_formula_sum 'Ca2 La4 Zn2'
_symmetry_space_group_name_H-M 'C 1 m 1'
_symmetry_Int_Tables_number 8
_symmetry_space_group_name_Hall 'C -2y'
_cell_length_a 12.578
_cell_length_b 3.818
_cell_length_c 5.523
_cell_angle_alpha 90.00
_cell_angle_beta 115.97
_cell_angle_gamma 90.00
loop_
_atom_site_label
_atom_site_type_symbol
_atom_site_fract_x
_atom_site_fract_y
_atom_site_fract_z
Ca1 Ca 0.000 0.000 0.000
La1 La 0.211 0.000 0.709
La2 La 0.425 0.000 0.425
Zn1 Zn 0.207 0.500 0.206